No. 1
DFT (PBE) results for a geometry-optimized NiMo2Pt7 structure.

Its calculated total energy is -6.65 eV/atom.

It has space group Cmmm (No. 65), with a = 7.210 Å, b = 13.162 Å, c = 4.041 Å, α = 90.00°, β = 90.00° and γ = 90.00°. The distinct sites, in fractional coordinates, are Ni at (0.000, 0.000, 0.000), Mo at (0.000, 0.302, 0.500), Pt at (0.000, 0.195, 0.000), Pt at (0.000, 0.500, 0.500) and Pt at (0.190, 0.104, 0.500).

=====

No. 2
DFT (PBE) results for a geometry-optimized NiMo2Pt structure.

Its calculated total energy is -8.54 eV/atom. Its offset from the most stable computed form is 19 meV/atom.

It has space group Pmm2 (No. 25), with a = 2.711 Å, b = 4.395 Å, c = 4.865 Å, α = 90.00°, β = 90.00° and γ = 90.00°. The distinct sites, in fractional coordinates, are Ni at (0.000, 0.000, 0.000), Mo at (0.500, 0.000, 0.493), Mo at (0.500, 0.500, 0.161) and Pt at (0.000, 0.500, 0.678).

=====

No. 3
DFT (PBE) results for a geometry-optimized Ni14MoPt structure.

Its calculated total energy is -6.10 eV/atom.

It has space group Amm2 (No. 38), with a = 8.246 Å, b = 5.138 Å, c = 8.746 Å, α = 90.00°, β = 90.00° and γ = 90.00°. The distinct sites, in fractional coordinates, are Ni at (0.000, 0.000, 0.000), Ni at (0.000, 0.000, 0.500), Ni at (0.000, 0.249, 0.250), Ni at (0.243, 0.000, 0.667), Ni at (0.244, 0.246, 0.420), Ni at (0.248, 0.000, 0.168), Ni at (0.500, 0.249, 0.087), Mo at (0.500, 0.000, 0.337) and Pt at (0.500, 0.000, 0.838).

=====

No. 4
DFT (PBE) results for a geometry-optimized Ni2MoPt structure.

Its calculated total energy is -7.12 eV/atom.

It has space group Cmmm (No. 65), with a = 5.364 Å, b = 7.375 Å, c = 2.695 Å, α = 90.00°, β = 90.00° and γ = 90.00°. The distinct sites, in fractional coordinates, are Ni at (0.250, 0.250, 0.000), Mo at (0.000, 0.000, 0.500) and Pt at (0.000, 0.500, 0.500).

=====

No. 5
DFT (PBE) results for a geometry-optimized Ni8Mo2Pt structure.

Its calculated total energy is -6.64 eV/atom. Its offset from the most stable computed form is 167 meV/atom.

It has space group C2/m (No. 12), with a = 6.629 Å, b = 12.567 Å, c = 4.401 Å, α = 90.00°, β = 131.52° and γ = 90.00°. The distinct sites, in fractional coordinates, are Ni at (0.000, 0.203, 0.000), Ni at (0.001, 0.500, 0.254), Ni at (0.236, 0.133, 0.738), Mo at (0.000, 0.317, 0.500) and Pt at (0.000, 0.000, 0.000).

=====

No. 6
DFT (PBE) results for a geometry-optimized Ni3MoPt6 structure.

Its calculated total energy is -6.37 eV/atom. Its offset from the most stable computed form is 34 meV/atom.

It has space group Cmc2_1 (No. 36), with a = 8.938 Å, b = 12.901 Å, c = 5.314 Å, α = 90.00°, β = 90.00° and γ = 90.00°. The distinct sites, in fractional coordinates, are Ni at (0.000, 0.071, 0.000), Ni at (0.136, 0.366, 0.047), Mo at (0.000, 0.245, 0.779), Pt at (0.000, 0.218, 0.315), Pt at (0.000, 0.447, 0.592), Pt at (0.215, 0.008, 0.285) and Pt at (0.247, 0.316, 0.506).

=====

No. 7
DFT (PBE) results for a geometry-optimized Ni2MoPt structure.

Its calculated total energy is -7.27 eV/atom.

It has space group P2_1/c (No. 14), with a = 5.130 Å, b = 4.691 Å, c = 8.851 Å, α = 90.00°, β = 92.96° and γ = 90.00°. The distinct sites, in fractional coordinates, are Ni at (0.055, 0.163, 0.191), Ni at (0.431, 0.664, 0.814), Mo at (0.189, 0.657, 0.066) and Pt at (0.307, 0.161, 0.934).

=====

No. 8
DFT (PBE) results for a geometry-optimized Ni6MoPt12 structure.

Its calculated total energy is -6.08 eV/atom.

It has space group Im-3 (No. 204), with a = 8.278 Å, b = 8.278 Å, c = 8.278 Å, α = 90.00°, β = 90.00° and γ = 90.00°. The distinct sites, in fractional coordinates, are Ni at (0.000, 0.364, 0.500), Mo at (0.000, 0.000, 0.000) and Pt at (0.000, 0.183, 0.270).

=====

- Which formula does entry 3 have?
  Ni14MoPt

=====

- Which value of calculated total energy does entry 1 give?
  -6.65 eV/atom